First-principles (PBE) data for Pr2AlAg after structural relaxation, as listed in the Alexandria database.

Summary:
D(E_F)	4.236	states/eV/f.u.
electronic total energy	-4.339	eV/atom
formation energy	-0.30	eV per atom

extended XYZ file:
```
4
Lattice="-0.7876 2.9376 2.0828 -3.4654 -0.0386 -1.2560 -2.0927 -4.7583 5.9198" Properties=species:S:1:pos:R:3 pbc="T T T"
Pr -1.5790 -3.5904 4.4668
Pr -0.5136 -1.1679 1.4530
Al -2.1265 1.4495 0.4134
Ag -3.1728 -0.9297 3.3733
```